Record 1
# GGA-PBE HfTi2Mn2, optimized geometry
data_HfTi2Mn2
_symmetry_space_group_name_H-M 'P 1'
_symmetry_Int_Tables_number 1
_cell_length_a 3.014
_cell_length_b 3.088
_cell_length_c 8.607
_cell_angle_alpha 79.67
_cell_angle_beta 90.00
_cell_angle_gamma 90.00
loop_
_symmetry_equiv_pos_as_xyz
'x,y,z'
loop_
_atom_site_label
_atom_site_type_symbol
_atom_site_fract_x
_atom_site_fract_y
_atom_site_fract_z
Ti1 Ti 0.000 0.824 0.353
Mn1 Mn 0.500 0.601 0.799
Hf1 Hf 0.000 0.000 0.000
Mn2 Mn 0.500 0.399 0.201
Ti2 Ti 0.000 0.176 0.647
# calculated volume	15.8	A^3/atom
# E	-8.844	eV per atom
# ΔE_f	-0.028	eV per atom

Record 2
# GGA-PBE HfTi2Mn9, optimized geometry
data_HfTi2Mn9
_symmetry_space_group_name_H-M 'P 1'
_symmetry_Int_Tables_number 1
_cell_length_a 4.746
_cell_length_b 4.746
_cell_length_c 8.290
_cell_angle_alpha 73.36
_cell_angle_beta 73.36
_cell_angle_gamma 60.00
loop_
_symmetry_equiv_pos_as_xyz
'x,y,z'
loop_
_atom_site_label
_atom_site_type_symbol
_atom_site_fract_x
_atom_site_fract_y
_atom_site_fract_z
Mn1 Mn 0.074 0.591 0.744
Mn2 Mn 0.663 0.663 0.012
Mn3 Mn 0.337 0.337 0.988
Hf1 Hf 0.000 0.000 0.000
Mn4 Mn 0.591 0.591 0.744
Mn5 Mn 0.926 0.409 0.256
Mn6 Mn 0.409 0.409 0.256
Mn7 Mn 0.591 0.074 0.744
Mn8 Mn 0.409 0.926 0.256
Ti1 Ti 0.143 0.143 0.572
Ti2 Ti 0.857 0.857 0.428
Mn9 Mn 0.500 0.500 0.500
# calculated volume	12.7	A^3/atom
# E	-9.171	eV per atom
# ΔE_f	-0.149	eV per atom